K2Na4Ge: optimized geometry, PBE.

Summary:
formation energy from the elements = 0.0395 eV/atom
crystal system = tetragonal

abc: 5.757 5.757 18.882
angles: 90.00 90.00 90.00
Space group I4/mmm (No. 139)
One atom of each set of equivalent atoms:
K 0.000 0.000 0.140 [4 per cell]
Na 0.000 0.000 0.347 [4 per cell]
Na 0.000 0.500 0.000 [4 per cell]
Ge 0.000 0.000 0.500 [2 per cell]